Crystalline BaLi2PdPb at its relaxed geometry. Source: Alexandria, functional PBE-GGA.

CIF file:
```
data_BaLi2PdPb
_cell_length_a 5.1278
_cell_length_b 5.1278
_cell_length_c 5.2838
_cell_angle_alpha 90.00
_cell_angle_beta 90.00
_cell_angle_gamma 90.00
_symmetry_space_group_name_H-M 'P 4/m m m'
_symmetry_Int_Tables_number 123
_symmetry_space_group_name_Hall '-P 4 2'
loop_
_atom_site_label
_atom_site_type_symbol
_atom_site_fract_x
_atom_site_fract_y
_atom_site_fract_z
Ba1 Ba 0.0000 0.0000 0.0000
Li1 Li 0.0000 0.5000 0.5000
Pd1 Pd 0.5000 0.5000 0.5000
Pb1 Pb 0.5000 0.5000 0.0000
```

## Properties
Density, g/cm3: 5.56
Calculated volume, Å³/f.u.: 138.9
Energy of formation from the pure elements, eV per atom: -0.308



Crystalline Cu2IrPd2 at its relaxed geometry. Source: Alexandria, functional PBE-GGA.

CIF file:
```
data_Cu2IrPd2
_cell_length_a 7.2460
_cell_length_b 7.2460
_cell_length_c 2.7465
_cell_angle_alpha 90.00
_cell_angle_beta 90.00
_cell_angle_gamma 90.00
_symmetry_space_group_name_H-M 'P 4/m b m'
_symmetry_Int_Tables_number 127
_symmetry_space_group_name_Hall '-P 4 2ab'
loop_
_atom_site_label
_atom_site_type_symbol
_atom_site_fract_x
_atom_site_fract_y
_atom_site_fract_z
Cu1 Cu 0.1641 0.3359 0.0000
Ir1 Ir 0.0000 0.0000 0.5000
Pd1 Pd 0.1346 0.6346 0.5000
```

## Properties
Relative energy among the computed polymorphs, meV/atom: 75
Density, g/cm3: 12.26
Calculated volume, Å³/f.u.: 72.1
Energy of formation from the pure elements, eV per atom: 0.296